1.
# Sc2SnPb

Crystalline Sc2SnPb at its relaxed geometry (PBE-GGA, the Alexandria database).

abc: 7.9273 7.9273 6.5946
angles: 90.00 90.00 90.00
Last column: nearest neighbours and their distance in Å.
Sites, in units of the cell vectors:
Sc (0.2456, 0.2500, 0.1250)  2 Sn 2.90, 2 Pb 2.95
Sc (0.2500, 0.7456, 0.3750)  2 Sn 2.90, 2 Pb 2.95
Sc (0.2500, 0.7544, 0.8750)  2 Sn 2.90, 2 Pb 2.95
Sc (0.2544, 0.2500, 0.6250)  2 Sn 2.90, 2 Pb 2.95
Sc (0.7456, 0.7500, 0.6250)  2 Sn 2.90, 2 Pb 2.95
Sc (0.7500, 0.2456, 0.8750)  2 Sn 2.90, 2 Pb 2.95
Sc (0.7500, 0.2544, 0.3750)  2 Sn 2.90, 2 Pb 2.95
Sc (0.7544, 0.7500, 0.1250)  2 Sn 2.90, 2 Pb 2.95
Sn (0.0000, 0.0000, 0.0000)  4 Sc 2.90
Sn (0.0000, 0.5000, 0.2500)  4 Sc 2.90
Sn (0.5000, 0.0000, 0.7500)  4 Sc 2.90
Sn (0.5000, 0.5000, 0.5000)  4 Sc 2.90
Pb (0.0000, 0.0000, 0.5000)  4 Sc 2.95, 2 Sn 3.30
Pb (0.0000, 0.5000, 0.7500)  4 Sc 2.95, 2 Sn 3.30
Pb (0.5000, 0.0000, 0.2500)  4 Sc 2.95, 2 Sn 3.30
Pb (0.5000, 0.5000, 0.0000)  4 Sc 2.95, 2 Sn 3.30

Summary:
- Energy relative to the lowest polymorph listed for this composition: 199 meV/atom
- DFT formation energy: -0.23 eV/atom
- SG: I-42d, No. 122
- M_tot: 0.000 μB/cell

2.
# Sc2Sn2Pb

Crystalline Sc2Sn2Pb at its relaxed geometry (PBE-GGA, the Alexandria database).

abc: 7.6968 7.6968 4.2988
angles: 90.00 90.00 90.00
Last column: nearest neighbours and their distance in Å.
Sites, in units of the cell vectors:
Sc (0.1629, 0.3371, 0.0000)  2 Pb 2.88, 6 Sn 3.04-3.17
Sc (0.3371, 0.8371, 0.0000)  2 Pb 2.88, 6 Sn 3.04-3.17
Sc (0.6629, 0.1629, 0.0000)  2 Pb 2.88, 6 Sn 3.04-3.17
Sc (0.8371, 0.6629, 0.0000)  2 Pb 2.88, 6 Sn 3.04-3.17
Sn (0.1391, 0.6391, 0.5000)  1 Sn 3.03, 6 Sc 3.04-3.17
Sn (0.3609, 0.1391, 0.5000)  1 Sn 3.03, 6 Sc 3.04-3.17
Sn (0.6391, 0.8609, 0.5000)  1 Sn 3.03, 6 Sc 3.04-3.17
Sn (0.8609, 0.3609, 0.5000)  1 Sn 3.03, 6 Sc 3.04-3.17
Pb (0.0000, 0.0000, 0.0000)  4 Sc 2.88
Pb (0.5000, 0.5000, 0.0000)  4 Sc 2.88

Summary:
- Energy relative to the lowest polymorph listed for this composition: 15 meV/atom
- DFT formation energy: -0.36 eV/atom
- SG: P4/mbm, No. 127
- M_tot: 0.000 μB/cell

3.
# Sc2SnPb

Crystalline Sc2SnPb at its relaxed geometry (PBE-GGA, the Alexandria database).

abc: 3.3530 3.3530 32.8632
angles: 90.00 90.00 120.00
Last column: nearest neighbours and their distance in Å.
Sites, in units of the cell vectors:
Sc (0.0000, 0.0000, 0.0890)  1 Sn 2.93, 3 Pb 3.20
Sc (0.0000, 0.0000, 0.9110)  1 Sn 2.93, 3 Pb 3.20
Sc (0.3333, 0.6667, 0.5777)  1 Sn 2.93, 3 Pb 3.20
Sc (0.3333, 0.6667, 0.7557)  1 Sn 2.93, 3 Pb 3.20
Sc (0.6667, 0.3333, 0.2443)  1 Sn 2.93, 3 Pb 3.20
Sc (0.6667, 0.3333, 0.4223)  1 Sn 2.93, 3 Pb 3.20
Sn (0.0000, 0.0000, 0.0000)  2 Sc 2.93
Sn (0.3333, 0.6667, 0.6667)  2 Sc 2.93
Sn (0.6667, 0.3333, 0.3333)  2 Sc 2.93
Pb (0.0000, 0.0000, 0.5000)  6 Sc 3.20, 6 Pb 3.35
Pb (0.3333, 0.6667, 0.1667)  6 Sc 3.20, 6 Pb 3.35
Pb (0.6667, 0.3333, 0.8333)  6 Sc 3.20, 6 Pb 3.35

Summary:
- Energy relative to the lowest polymorph listed for this composition: 414 meV/atom
- DFT formation energy: -0.02 eV/atom
- SG: R-3m, No. 166
- M_tot: 0.000 μB/cell

4.
# ScSn2Pb2

Crystalline ScSn2Pb2 at its relaxed geometry (PBE-GGA, the Alexandria database).

abc: 7.7217 7.7217 4.8562
angles: 90.00 90.00 90.00
Last column: nearest neighbours and their distance in Å.
Sites, in units of the cell vectors:
Sc (0.0000, 0.0000, 0.0000)  4 Sn 3.00
Sc (0.5000, 0.5000, 0.0000)  4 Sn 3.00
Sn (0.1351, 0.3649, 0.0000)  1 Sn 2.95, 2 Sc 3.00, 2 Pb 3.21
Sn (0.3649, 0.8649, 0.0000)  1 Sn 2.95, 2 Sc 3.00, 2 Pb 3.21
Sn (0.6351, 0.1351, 0.0000)  1 Sn 2.95, 2 Sc 3.00, 2 Pb 3.21
Sn (0.8649, 0.6351, 0.0000)  1 Sn 2.95, 2 Sc 3.00, 2 Pb 3.21
Pb (0.1727, 0.6727, 0.5000)  6 Sn 3.21-3.41
Pb (0.3273, 0.1727, 0.5000)  6 Sn 3.21-3.41
Pb (0.6727, 0.8273, 0.5000)  6 Sn 3.21-3.41
Pb (0.8273, 0.3273, 0.5000)  6 Sn 3.21-3.41

Summary:
- Energy relative to the lowest polymorph listed for this composition: 0 meV/atom
- DFT formation energy: -0.06 eV/atom
- SG: P4/mbm, No. 127
- M_tot: 0.000 μB/cell